First-principles (PBE+U) data for a relaxed structure of BiIrW2F, as listed in Alexandria.

abc: 5.2817 4.0723 5.2817
angles: 90.00 90.00 90.00
With the nearest neighbours (Å) after each atom.
Positions (direct):
Ir1 0.0000 0.0000 0.0000  2 F 2.04
Bi1 0.5000 0.5000 0.5000  8 W 3.33, 4 F 3.73
W1 0.0000 0.0000 0.5000  2 Ir 2.64
W2 0.5000 0.0000 0.0000  2 Ir 2.64
F1 0.0000 0.5000 0.0000  2 Ir 2.04

Calculated values
space-group type = No. 123
M_tot = 6.77 μB/f.u.
calculated total energy = -4.95 eV/atom